1.
Material: Zr5Be
Method: DFT, GGA-PBEsol
State: optimized geometry

a = 5.2928 Å, b = 5.2928 Å, c = 5.0063 Å
α = 90.00°, β = 90.00°, γ = 120.00°
Positions (direct):
Zr 0.0000 0.6861 0.0000
Zr 0.3139 0.3139 0.0000
Zr 0.3333 0.6667 0.5000
Zr 0.6667 0.3333 0.5000
Zr 0.6861 0.0000 0.0000
Be 0.0000 0.0000 0.5000

Summary:
The spin magnetization comes out at 0.000 Bohr magnetons per cell. As for the formation energy from the elements: 0.12 eV per atom. The calculation puts the excess energy over the best structure of this formula in the dataset at 107 meV per atom.



2.
Material: MnNiP2
Method: DFT, GGA-PBEsol
State: optimized geometry

a = 3.1512 Å, b = 5.6577 Å, c = 5.1237 Å
α = 90.00°, β = 90.00°, γ = 90.00°
Positions (direct):
Mn 0.0000 0.0594 0.0000
Mn 0.0000 0.9406 0.5000
Ni 0.5000 0.4505 0.9960
Ni 0.5000 0.5495 0.4960
P 0.0000 0.3152 0.6795
P 0.0000 0.6848 0.1795
P 0.5000 0.1679 0.3046
P 0.5000 0.8321 0.8046

Summary:
The spin magnetization comes out at 1.222 Bohr magnetons per cell. As for the formation energy from the elements: -0.62 eV per atom.



3.
Material: LiIn2I
Method: DFT, GGA-PBEsol
State: optimized geometry

a = 6.8433 Å, b = 6.8433 Å, c = 6.8433 Å
α = 100.77°, β = 100.77°, γ = 128.77°
Positions (direct):
Li 0.0000 0.0000 0.0000
Li 0.7500 0.2500 0.5000
In 0.0936 0.6250 0.9686
In 0.3750 0.3436 0.4686
In 0.6564 0.1250 0.0314
In 0.8750 0.9064 0.5314
I 0.2500 0.7500 0.5000
I 0.5000 0.5000 0.0000

Summary:
The spin magnetization comes out at 0.000 Bohr magnetons per cell. The value obtained for the raw formation energy is -0.135 eV per atom.



Q: What is the formula in the first record?
A: Zr5Be



Q: What is the formula in the first record?
A: Zr5Be